TaReAs: optimized geometry, GGA-PBE. Values from VASP.

```
&SYSTEM
  ibrav = 0, nat = 3, ntyp = 3
/
ATOMIC_SPECIES
Ta 180.95 Ta.upf
Re 186.21 Re.upf
As 74.92 As.upf
ATOMIC_POSITIONS crystal
Ta 0.333 0.667 0.667
Re 0.667 0.333 0.317
As 0.000 0.000 0.016
CELL_PARAMETERS angstrom
-2.264 1.057 1.641
0.212 -2.932 -0.542
3.474 -0.720 5.255
```

Properties
- Offset from the most stable computed form: 241 meV per atom
- Uncorrected energy: -28.4 eV/f.u.
- Energy of formation: 0.184 eV per atom